LiCrI2O | Alexandria via LeMat-Bulk | GGA+U | relaxed; total magnetic moment = 0.87 μB/atom; raw total energy = -3.589 eV/atom; Fermi-level density of states = 8.31 states/eV/f.u.
1.0
5.5170 0.0000 0.0000
0.0000 5.5170 0.0000
0.0000 0.0000 3.6572
I Li O Cr
2 1 1 1
Direct
0.0000 0.5000 0.0000
0.5000 0.0000 0.0000
0.0000 0.0000 0.0000
0.0000 0.0000 0.5000
0.5000 0.5000 0.5000